No. 1
The following is a PBE calculation of crystalline LiCa2TeS4 at its relaxed geometry, from Alexandria via LeMat-Bulk.

Cell lengths 7.742, 7.742, 7.948 Å; angles 116.86, 116.86, 89.82 degrees
Atoms (fractional coordinates):
Li (0.000, 0.500, 0.000)
Li (0.000, 0.500, 0.500)
Ca (0.500, 0.000, 0.000)
Ca (0.500, 0.000, 0.500)
Ca (0.000, 0.000, 0.500)
Ca (0.500, 0.500, 0.000)
Te (0.500, 0.500, 0.500)
Te (0.000, 0.000, 0.000)
S (0.252, 0.764, 0.029)
S (0.736, 0.248, 0.471)
S (0.264, 0.752, 0.529)
S (0.748, 0.236, 0.971)
S (0.784, 0.767, 0.030)
S (0.733, 0.716, 0.470)
S (0.267, 0.284, 0.530)
S (0.216, 0.233, 0.970)

Results
Space-group type: No. 15
V: 366.89 Å³ per cell
Size of the total moment: 0.00 μB/f.u.
ΔE_f (raw): -1201.9 meV/atom
D(E_F): 2.2 states/eV per cell

No. 2
The following is a PBE calculation of crystalline AgHgTe2 at its relaxed geometry, from Alexandria via LeMat-Bulk.

Cell lengths 7.259, 7.259, 7.259 Å; angles 146.92, 146.92, 47.48 degrees
Atoms (fractional coordinates):
Te (0.000, 0.000, 0.000)
Te (0.250, 0.750, 0.500)
Hg (0.750, 0.250, 0.500)
Ag (0.500, 0.500, 0.000)

Results
Space-group type: No. 119
V: 113.48 Å³ per cell
Size of the total moment: 0.00 μB/f.u.
ΔE_f (raw): 175.6 meV/atom
D(E_F): 3.1 states/eV per cell

> The highest ΔE_f (raw) belongs to which entry?

AgHgTe2

> Among the records above, which one has the highest D(E_F)?

AgHgTe2